Computed, not measured: a relaxed structure of BaScUS6 at the PBE level of DFT.

- crystal system = trigonal
- formation energy without anion corrections (eV per atom) = -1.3913
- size of the total moment (μB per formula unit) = 0.0

```
BaScUS6
1.0
-0.136 4.504 -5.003
2.325 -1.666 -6.095
-6.032 -2.100 -1.727
S Sc U Ba
6 1 1 1
Cartesian
-4.404 0.203 -3.182
-3.552 0.609 -6.655
-1.750 2.178 -3.568
-0.297 0.120 -6.138
-0.782 -1.208 -2.828
-2.931 -2.528 -5.004
-1.556 0.842 -8.262
-2.286 -0.104 -4.563
-3.843 0.737 -12.824
```


Computed, not measured: a relaxed structure of BaSc2VS at the PBE level of DFT.

- crystal system = tetragonal
- formation energy without anion corrections (eV per atom) = 1.7241
- size of the total moment (μB per formula unit) = 0.7

```
BaSc2VS
1.0
5.468 0.000 0.000
0.000 5.500 0.000
0.000 0.000 5.468
Ba Sc V S
1 2 1 1
Cartesian
0.000 0.000 0.000
2.734 0.000 0.000
0.000 0.000 2.734
2.734 2.750 2.734
0.000 2.750 0.000
```


Computed, not measured: a relaxed structure of BaY2ScS at the PBE level of DFT.

- crystal system = tetragonal
- formation energy without anion corrections (eV per atom) = 0.1324
- size of the total moment (μB per formula unit) = 1.9

```
BaY2ScS
1.0
5.954 0.000 0.000
0.000 4.924 0.000
0.000 0.000 5.954
Ba S Y Sc
1 1 2 1
Cartesian
2.977 2.462 2.977
0.000 2.462 0.000
2.977 0.000 0.000
0.000 0.000 2.977
0.000 0.000 0.000
```


Computed, not measured: a relaxed structure of Ba2ScZnS5 at the PBE level of DFT.

- crystal system = orthorhombic
- formation energy without anion corrections (eV per atom) = -1.5544
- size of the total moment (μB per formula unit) = 0.0

```
Ba2ScZnS5
1.0
-2.193 3.046 1.461
-5.928 -7.121 0.400
4.017 -2.691 11.641
S Sc Ba Zn
10 2 4 2
Cartesian
-5.869 -6.348 4.428
-1.243 -1.583 6.988
2.035 -0.598 9.855
-0.677 -0.774 0.598
-4.811 -3.877 0.864
-2.806 -4.461 5.092
-0.273 -2.992 11.382
-5.116 -4.861 8.010
-1.532 -5.051 8.234
-3.375 -1.177 2.941
-2.839 -2.358 0.655
-3.143 -3.149 7.402
1.102 -3.196 8.321
-3.029 -4.825 11.068
-0.545 -2.296 3.971
-5.676 -3.255 3.821
-4.360 -6.077 6.127
1.795 -1.720 11.835
```


Computed, not measured: a relaxed structure of Ba3Se2S at the PBE level of DFT.

- crystal system = orthorhombic
- formation energy without anion corrections (eV per atom) = -2.0555
- size of the total moment (μB per formula unit) = 0.0

```
Ba3Se2S
1.0
-1.384 1.528 4.190
-5.191 -4.093 -0.222
7.106 -3.728 1.105
Ba Se S
3 2 1
Cartesian
0.000 0.000 0.000
-2.056 -2.898 2.980
2.588 -3.395 2.093
0.589 -0.916 3.131
-0.057 -5.377 1.942
-2.595 -2.046 -0.111
```


Computed, not measured: a relaxed structure of Ba3SeS at the PBE level of DFT.

- crystal system = cubic
- formation energy without anion corrections (eV per atom) = -1.0865
- size of the total moment (μB per formula unit) = 0.0
- relative energy among the computed polymorphs (eV/atom) = 0.000

```
Ba3SeS
1.0
5.977 0.000 0.000
0.000 5.977 0.000
0.000 0.000 5.977
Ba S Se
3 1 1
Cartesian
0.000 0.000 2.989
0.000 2.989 0.000
2.989 0.000 0.000
0.000 0.000 0.000
2.989 2.989 2.989
```


Computed, not measured: a relaxed structure of BaSe3S6 at the PBE level of DFT.

- crystal system = monoclinic
- formation energy without anion corrections (eV per atom) = -0.3024
- size of the total moment (μB per formula unit) = 0.0

```
BaSe3S6
1.0
10.275 0.000 -3.942
0.000 6.337 0.000
-11.654 0.000 13.319
Se S Ba
6 12 2
Cartesian
-7.904 4.211 9.443
3.061 5.294 0.812
-5.827 0.000 6.659
-4.440 1.043 8.565
5.138 3.168 -1.971
6.525 2.125 -0.066
-4.696 6.256 10.496
-3.685 5.295 5.390
-4.007 3.249 5.808
2.627 3.088 3.569
-1.190 3.633 1.435
3.317 0.080 -1.120
0.501 0.465 3.253
2.306 1.041 3.986
2.995 2.127 -0.702
-0.189 2.704 7.941
-4.375 4.210 10.079
-1.880 5.872 6.124
-0.690 3.168 4.688
0.000 0.000 0.000
```


Computed, not measured: a relaxed structure of BaSe2S at the PBE level of DFT.

- crystal system = monoclinic
- formation energy without anion corrections (eV per atom) = -0.9587
- size of the total moment (μB per formula unit) = 0.0

```
BaSe2S
1.0
-4.012 -4.165 0.803
4.669 -5.432 -4.848
-0.019 -3.002 5.563
S Se Ba
2 4 2
Cartesian
2.916 -4.931 -3.414
-0.728 -3.575 -0.729
-1.752 -7.560 3.003
4.495 -6.479 -2.858
3.459 -7.291 0.004
0.981 -4.987 -0.199
0.206 -8.259 0.301
-0.928 -4.295 2.484
```


Computed, not measured: a relaxed structure of BaSeS3 at the PBE level of DFT.

- crystal system = cubic
- formation energy without anion corrections (eV per atom) = -0.6240
- size of the total moment (μB per formula unit) = 0.0

```
BaSeS3
1.0
4.941 0.000 0.000
0.000 4.941 0.000
0.000 0.000 4.941
S Se Ba
3 1 1
Cartesian
0.000 2.471 0.000
2.471 0.000 0.000
0.000 0.000 2.471
0.000 0.000 0.000
2.471 2.471 2.471
```


Computed, not measured: a relaxed structure of Ba3SeS2 at the PBE level of DFT.

- crystal system = orthorhombic
- formation energy without anion corrections (eV per atom) = -2.0650
- size of the total moment (μB per formula unit) = 0.0

```
Ba3SeS2
1.0
4.442 0.000 -1.258
-0.684 6.037 -2.416
-0.133 -0.355 7.998
Se S Ba
1 2 3
Cartesian
-0.342 3.019 -1.208
0.824 4.797 2.907
2.800 0.884 1.417
2.480 3.936 0.285
0.000 0.000 0.000
1.144 1.746 4.038
```


Computed, not measured: a relaxed structure of Ba6SeS4 at the PBE level of DFT.

- crystal system = orthorhombic
- formation energy without anion corrections (eV per atom) = -1.8175
- size of the total moment (μB per formula unit) = 1.0

```
Ba6SeS4
1.0
-3.259 -0.055 -3.175
3.312 -7.105 -0.015
-15.324 -7.176 15.855
Ba S Se
12 8 2
Cartesian
-5.019 -3.029 5.205
-8.134 -7.356 8.478
-12.916 -12.556 10.216
-13.345 -9.796 13.869
-10.252 -11.308 7.460
-7.137 -6.981 4.187
-12.524 -7.948 9.733
-2.747 -6.389 2.931
-1.926 -4.541 -1.205
-2.355 -1.781 2.448
-9.292 -3.616 6.340
-1.630 -0.028 -1.588
-6.535 -5.237 6.799
-4.357 -8.506 4.621
-0.558 -6.727 0.690
-10.914 -5.831 8.044
-8.736 -9.100 5.866
-15.068 -12.066 12.417
-0.203 -2.271 0.248
-14.713 -7.610 11.974
-10.337 -10.284 10.790
-4.934 -4.053 1.875
```


Computed, not measured: a relaxed structure of BaSe2S2 at the PBE level of DFT.

- crystal system = triclinic
- formation energy without anion corrections (eV per atom) = -0.6525
- size of the total moment (μB per formula unit) = 0.0

```
BaSe2S2
1.0
5.231 0.709 3.280
2.255 4.919 3.099
0.425 0.434 6.138
Se Ba S
2 1 2
Cartesian
1.335 1.528 3.122
6.576 4.533 9.395
0.000 0.000 0.000
4.754 3.452 6.913
3.157 2.610 5.604
```


Computed, not measured: a relaxed structure of BaSeS3 at the PBE level of DFT.

- crystal system = cubic
- formation energy without anion corrections (eV per atom) = 0.9116
- size of the total moment (μB per formula unit) = 0.0

```
BaSeS3
1.0
-1.251 -2.826 -4.926
0.425 -5.077 2.805
-5.663 0.244 1.299
Ba S Se
1 3 1
Cartesian
0.000 0.000 0.000
-2.832 0.122 0.649
0.212 -2.538 1.402
-0.626 -1.413 -2.463
-3.245 -3.830 -0.411
```


Computed, not measured: a relaxed structure of Ba3Se2S at the PBE level of DFT.

- crystal system = monoclinic
- formation energy without anion corrections (eV per atom) = -2.0556
- size of the total moment (μB per formula unit) = 0.0

```
Ba3Se2S
1.0
-4.583 6.469 -1.615
-4.213 -3.132 6.169
7.082 3.677 1.390
S Se Ba
2 4 6
Cartesian
-1.057 5.694 2.169
-0.656 1.320 3.776
-4.418 -0.947 5.367
2.704 7.962 0.577
3.123 3.598 2.177
-4.836 3.417 3.767
-2.456 2.815 1.531
0.743 4.199 4.414
1.250 5.073 -0.112
-2.107 -1.566 3.084
-2.923 7.149 -0.048
1.210 -0.135 5.993
```


Computed, not measured: a relaxed structure of Ba3Se5S12 at the PBE level of DFT.

- crystal system = cubic
- formation energy without anion corrections (eV per atom) = -0.3400
- size of the total moment (μB per formula unit) = 0.0

```
Ba3Se5S12
1.0
14.201 0.000 0.000
-4.734 13.389 0.000
-4.734 -6.694 11.595
Se S Ba
20 48 12
Cartesian
5.917 3.347 8.696
7.100 0.000 0.000
5.917 5.857 4.348
-2.367 6.694 0.000
0.000 0.000 0.000
3.550 10.041 2.899
1.183 4.184 10.145
-1.183 10.878 1.449
-4.734 3.347 5.797
-2.367 -3.347 5.797
-1.183 0.837 7.247
5.917 -4.184 10.145
-1.183 3.347 2.899
-3.550 7.531 4.348
2.367 3.347 5.797
3.550 2.510 1.449
4.734 -3.347 5.797
4.734 6.694 0.000
8.284 -0.837 7.247
1.183 -3.347 8.696
5.868 10.244 3.576
4.132 -1.970 3.739
-5.601 -0.109 9.537
0.602 8.664 7.855
8.865 0.876 5.634
10.335 6.803 2.058
4.496 2.510 6.920
5.965 -1.322 6.732
7.702 -1.094 2.222
-3.502 11.566 1.287
6.232 6.586 2.058
-4.132 5.818 5.961
-2.605 -5.303 11.431
9.705 -2.793 7.084
7.338 3.901 4.511
9.229 1.391 0.164
2.969 1.970 3.739
1.765 4.724 7.855
0.238 4.184 4.674
-1.765 -0.876 5.634
5.601 1.728 10.472
-0.868 8.531 0.935
-1.135 4.872 10.308
-0.602 1.094 2.222
-2.605 2.793 7.084
-4.496 5.303 11.431
7.338 11.997 0.164
3.599 5.372 4.862
8.235 -4.872 10.308
5.336 5.600 9.373
3.235 4.858 0.935
5.868 1.822 1.287
1.499 1.837 10.660
-1.499 0.109 9.537
-5.965 3.550 8.019
-1.135 -3.550 8.019
5.601 -1.837 10.660
10.699 3.144 3.576
1.499 -1.728 10.472
2.129 9.204 4.674
-0.868 4.966 1.123
2.605 -2.510 6.920
3.235 8.422 1.123
-1.232 8.016 4.862
1.135 1.322 6.732
-4.972 9.487 4.511
6.498 7.571 5.961
-2.969 7.788 9.373
-5.917 6.694 8.696
-3.550 2.510 10.145
10.650 0.000 2.899
-1.183 5.857 7.247
1.183 6.694 2.899
5.917 0.837 4.348
3.550 0.000 8.696
8.284 4.184 1.449
1.183 -0.837 4.348
3.550 7.531 7.247
-3.550 -2.510 10.145
8.284 9.205 1.449
```


Computed, not measured: a relaxed structure of Ba2SeS6 at the PBE level of DFT.

- crystal system = triclinic
- formation energy without anion corrections (eV per atom) = -0.8707
- size of the total moment (μB per formula unit) = 0.0

```
Ba2SeS6
1.0
10.740 2.507 2.327
5.841 5.167 5.460
1.062 -0.206 12.602
S Ba Se
12 4 2
Cartesian
7.482 2.511 8.794
5.023 3.040 14.308
10.727 5.252 14.771
7.759 4.134 5.695
13.729 6.388 12.696
12.620 4.428 6.080
3.915 1.081 7.692
16.705 7.266 15.910
9.884 3.334 14.693
0.938 0.202 4.478
6.916 2.216 5.617
10.161 4.957 11.594
1.861 0.735 10.544
9.732 4.764 8.287
7.912 2.704 12.102
15.783 6.733 9.844
4.690 1.567 12.633
12.954 5.901 7.755
```


Computed, not measured: a relaxed structure of Ba8Se3S4 at the PBE level of DFT.

- crystal system = monoclinic
- formation energy without anion corrections (eV per atom) = -1.8956
- size of the total moment (μB per formula unit) = 0.6

```
Ba8Se3S4
1.0
8.108 -0.183 -4.451
-5.232 7.640 -0.237
-0.188 0.155 9.260
Ba Se S
8 3 4
Cartesian
-1.425 1.991 6.931
2.660 1.794 0.002
-4.056 5.902 6.806
-3.995 5.804 2.093
0.029 5.817 4.570
2.618 1.915 4.685
0.070 5.697 -0.113
6.744 1.710 -2.234
3.960 -0.014 2.404
1.438 3.729 -2.344
1.344 3.806 2.286
-2.616 3.820 -0.118
0.000 0.000 0.000
4.054 -0.092 -2.225
-0.094 0.077 4.630
```


Computed, not measured: a relaxed structure of Ba6Se5S at the PBE level of DFT.

- crystal system = monoclinic
- formation energy without anion corrections (eV per atom) = -2.0532
- size of the total moment (μB per formula unit) = 0.0

```
Ba6Se5S
1.0
8.047 0.196 1.222
1.976 6.826 3.979
0.135 0.073 8.143
Se Ba S
5 6 1
Cartesian
5.012 3.511 2.601
4.444 1.290 6.692
1.407 4.598 8.083
5.714 5.805 6.652
0.704 2.301 4.039
3.201 4.097 5.319
3.895 6.361 9.426
6.263 0.734 3.918
2.470 1.725 1.279
6.957 2.998 8.025
7.553 5.297 3.923
0.000 0.000 0.000
```


Computed, not measured: a relaxed structure of Ba3SeS2 at the PBE level of DFT.

- crystal system = monoclinic
- formation energy without anion corrections (eV per atom) = -2.0653
- size of the total moment (μB per formula unit) = 0.0

```
Ba3SeS2
1.0
7.981 0.249 0.430
-1.565 7.845 -0.294
-1.565 -4.145 6.668
S Ba Se
4 6 2
Cartesian
4.421 5.024 1.775
0.431 -1.074 5.029
4.421 -2.957 6.409
0.431 6.907 0.395
-0.748 -0.137 2.143
1.609 1.896 5.645
5.600 4.087 4.660
3.243 2.054 1.158
-0.782 3.923 -0.147
3.208 -1.948 3.549
4.421 1.053 4.080
0.431 2.897 2.723
```